Entry 1:
{
  "formula": "La6GeRu2",
  "functional": "PBE-GGA",
  "state": "optimized geometry",
  "lattice_angstrom": [[7.871, -5.430, 0.000], [7.871, 5.430, 0.000], [-1.685, 0.000, 6.188]],
  "species": ["La", "La", "La", "La", "La", "La", "La", "La", "La", "La", "La", "La", "Ge", "Ge", "Ru", "Ru", "Ru", "Ru"],
  "frac_coords": [[0.008, 0.188, 0.121], [0.061, 0.568, 0.291], [0.188, 0.008, 0.621], [0.317, 0.455, 0.811], [0.432, 0.939, 0.209], [0.455, 0.317, 0.311], [0.545, 0.683, 0.689], [0.568, 0.061, 0.791], [0.683, 0.545, 0.189], [0.812, 0.992, 0.379], [0.939, 0.432, 0.709], [0.992, 0.812, 0.879], [0.318, 0.682, 0.250], [0.682, 0.318, 0.750], [0.234, 0.240, 0.976], [0.240, 0.234, 0.476], [0.760, 0.766, 0.524], [0.766, 0.760, 0.024]],
  "spacegroup": "C2/c (15)",
  "formation_energy_mev_per_atom": -344
}

Entry 2:
{
  "formula": "LaGe3Ru",
  "functional": "PBE-GGA",
  "state": "optimized geometry",
  "lattice_angstrom": [[4.452, 0.000, 0.000], [0.000, 4.452, 0.000], [0.000, 0.000, 10.227]],
  "species": ["La", "La", "Ge", "Ge", "Ge", "Ge", "Ge", "Ge", "Ru", "Ru"],
  "frac_coords": [[0.000, 0.000, 0.000], [0.500, 0.500, 0.500], [0.000, 0.000, 0.427], [0.000, 0.500, 0.261], [0.000, 0.500, 0.761], [0.500, 0.000, 0.261], [0.500, 0.000, 0.761], [0.500, 0.500, 0.927], [0.000, 0.000, 0.660], [0.500, 0.500, 0.160]],
  "spacegroup": "I4mm (107)",
  "formation_energy_mev_per_atom": -638
}

Entry 3:
{
  "formula": "LaGe3Ru3",
  "functional": "PBE-GGA",
  "state": "optimized geometry",
  "lattice_angstrom": [[6.709, 0.000, 0.000], [0.000, 6.709, 0.000], [0.000, 0.000, 6.709]],
  "species": ["La", "La", "Ge", "Ge", "Ge", "Ge", "Ge", "Ge", "Ru", "Ru", "Ru", "Ru", "Ru", "Ru"],
  "frac_coords": [[0.000, 0.000, 0.000], [0.500, 0.500, 0.500], [0.000, 0.250, 0.500], [0.000, 0.750, 0.500], [0.250, 0.500, 0.000], [0.500, 0.000, 0.250], [0.500, 0.000, 0.750], [0.750, 0.500, 0.000], [0.000, 0.500, 0.250], [0.000, 0.500, 0.750], [0.250, 0.000, 0.500], [0.500, 0.250, 0.000], [0.500, 0.750, 0.000], [0.750, 0.000, 0.500]],
  "polymorph_energy_ev_per_atom": 0.160,
  "spacegroup": "Pm-3n (223)",
  "formation_energy_mev_per_atom": -56
}